Record 1
This record from the Alexandria database describes Sr3Au after structural relaxation. The functional is PBE.

Lattice parameters (Å, degrees): 3.9621 3.9621 10.2652 90.00 90.00 90.19
Last column: nearest neighbours and their distance in Å.
Element x y z (fractional)
Sr1 0.5000 0.5000 0.8225  4 Au 3.34-3.35, 1 Sr 3.64
Sr2 0.0000 0.0000 0.5000  12 Sr 3.96-4.34
Sr3 0.5000 0.5000 0.1775  4 Au 3.34-3.35, 1 Sr 3.64
Au1 0.0000 0.0000 0.0000  8 Sr 3.34-3.35

- SG: Cmmm, No. 65
- Crystal system: orthorhombic
- Calculated formation energy: -0.3770 eV/atom
- DOS(E_F): 4.59 states/eV/f.u.

Record 2
This record from the Alexandria database describes KZrTc2I after structural relaxation. The functional is PBE.

Lattice parameters (Å, degrees): 4.8953 7.5249 4.8953 90.00 90.00 90.00
Last column: nearest neighbours and their distance in Å.
Element x y z (fractional)
I1 0.5000 0.5000 0.5000  4 K 3.46
K1 0.0000 0.5000 0.0000  4 I 3.46, 2 Zr 3.76
Tc1 0.0000 0.0000 0.5000  2 Zr 2.45
Tc2 0.5000 0.0000 0.0000  2 Zr 2.45
Zr1 0.0000 0.0000 0.0000  4 Tc 2.45

- SG: P4/mmm, No. 123
- Crystal system: tetragonal
- DOS(E_F): 3.51 states/eV/f.u.
- Total energy: -25.48 eV per cell

Record 3
This record from the Alexandria database describes PrErCu after structural relaxation. The functional is PBE.

Lattice parameters (Å, degrees): 4.7696 4.7672 7.0194 90.00 90.04 90.00
Last column: nearest neighbours and their distance in Å.
Element x y z (fractional)
Pr1 0.9799 0.9926 0.4910  1 Cu 2.78
Pr2 0.4800 0.4926 0.2666  1 Cu 2.78
Er1 0.4807 0.9929 0.8788  4 Cu 2.82-2.83
Er2 0.9805 0.4929 0.8788  4 Cu 2.82-2.83
Cu1 0.9816 0.9931 0.0948  1 Pr 2.78, 4 Er 2.82-2.83
Cu2 0.4805 0.4931 0.6628  1 Pr 2.78, 4 Er 2.82-2.83

- SG: Pm, No. 6
- Crystal system: monoclinic
- Calculated formation energy: -0.1201 eV/atom
- DOS(E_F): 2.90 states/eV/f.u.

Record 4
This record from the Alexandria database describes Be2AlTc after structural relaxation. The functional is PBE.

Lattice parameters (Å, degrees): 2.8729 3.2494 5.1135 90.00 90.00 90.00
Last column: nearest neighbours and their distance in Å.
Element x y z (fractional)
Be1 0.0000 0.0000 0.0181  1 Tc 2.37, 4 Be 2.47, 4 Al 2.57
Be2 0.5000 0.5000 0.2512  4 Tc 2.47, 4 Be 2.47, 2 Al 2.55-2.57
Tc1 0.0000 0.0000 0.4817  5 Be 2.37-2.47, 4 Al 2.56
Al1 0.5000 0.5000 0.7490  6 Be 2.55-2.57, 4 Tc 2.56

- SG: Pmm2, No. 25
- Crystal system: orthorhombic
- Calculated formation energy: 0.0012 eV/atom
- DOS(E_F): 2.69 states/eV/f.u.

Record 5
This record from the Alexandria database describes YAl2Ni after structural relaxation. The functional is PBE.

Lattice parameters (Å, degrees): 4.5778 4.5778 8.7479 90.00 90.00 111.98
Last column: nearest neighbours and their distance in Å.
Element x y z (fractional)
Y1 0.7306 0.2694 0.7500  3 Ni 2.74-2.83
Y2 0.2694 0.7306 0.2500  3 Ni 2.74-2.83
Al1 0.3647 0.6353 0.9073  1 Ni 2.41, 1 Al 2.62
Al2 0.6353 0.3647 0.4073  1 Ni 2.41, 1 Al 2.62
Al3 0.3647 0.6353 0.5927  1 Ni 2.41, 1 Al 2.62
Al4 0.6353 0.3647 0.0927  1 Ni 2.41, 1 Al 2.62
Ni1 0.1032 0.8968 0.7500  2 Al 2.41
Ni2 0.8968 0.1032 0.2500  2 Al 2.41

- SG: Cmcm, No. 63
- Crystal system: orthorhombic
- Calculated formation energy: 0.0431 eV/atom
- DOS(E_F): 2.30 states/eV/f.u.

Record 6
This record from the Alexandria database describes Cd5Ga12Sb3 after structural relaxation. The functional is PBE.

Lattice parameters (Å, degrees): 14.1617 14.1617 14.1617 109.47 109.47 109.47
Last column: nearest neighbours and their distance in Å.
Element x y z (fractional)
Sb1 0.7500 0.3750 0.1250  8 Ga 2.90-3.01
Sb2 0.8750 0.7500 0.1250  8 Ga 2.90-3.01
Sb3 0.3750 0.7500 0.6250  8 Ga 2.90-3.01
Sb4 0.2500 0.1250 0.3750  8 Ga 2.90-3.01
Sb5 0.8750 0.1250 0.2500  8 Ga 2.90-3.01
Sb6 0.3750 0.6250 0.2500  8 Ga 2.90-3.01
Sb7 0.6250 0.3750 0.7500  8 Ga 2.90-3.01
Sb8 0.1250 0.8750 0.7500  8 Ga 2.90-3.01
Sb9 0.7500 0.8750 0.6250  8 Ga 2.90-3.01
Sb10 0.6250 0.2500 0.3750  8 Ga 2.90-3.01
Sb11 0.1250 0.2500 0.8750  8 Ga 2.90-3.01
Sb12 0.2500 0.6250 0.8750  8 Ga 2.90-3.01
Cd1 0.1250 0.3750 0.2500  4 Ga 2.74
Cd2 0.0000 0.5000 0.0000  6 Ga 2.78
Cd3 0.0000 0.0000 0.0000  6 Ga 2.78
Cd4 0.3750 0.2500 0.1250  4 Ga 2.74
Cd5 0.5000 0.0000 0.5000  6 Ga 2.78
Cd6 0.5000 0.5000 0.0000  6 Ga 2.78
Cd7 0.1250 0.7500 0.3750  4 Ga 2.74
Cd8 0.7500 0.1250 0.8750  4 Ga 2.74
Cd9 0.7500 0.6250 0.3750  4 Ga 2.74
Cd10 0.3750 0.1250 0.7500  4 Ga 2.74
Cd11 0.6250 0.8750 0.2500  4 Ga 2.74
Cd12 0.5000 0.5000 0.5000  6 Ga 2.78
Cd13 0.5000 0.0000 0.0000  6 Ga 2.78
Cd14 0.0000 0.0000 0.5000  6 Ga 2.78
Cd15 0.2500 0.3750 0.6250  4 Ga 2.74
Cd16 0.2500 0.8750 0.1250  4 Ga 2.74
Cd17 0.0000 0.5000 0.5000  6 Ga 2.78
Cd18 0.8750 0.2500 0.6250  4 Ga 2.74
Cd19 0.6250 0.7500 0.8750  4 Ga 2.74
Cd20 0.8750 0.6250 0.7500  4 Ga 2.74
Ga1 0.7273 0.1407 0.0638  2 Cd 2.74-2.78, 2 Sb 2.90-3.01, 1 Ga 3.01
Ga2 0.3365 0.5638 0.4231  2 Cd 2.74-2.78, 2 Sb 2.90-3.01, 1 Ga 3.01
Ga3 0.9362 0.3593 0.2727  2 Cd 2.74-2.78, 2 Sb 2.90-3.01, 1 Ga 3.01
Ga4 0.5638 0.2273 0.1407  2 Cd 2.74-2.78, 2 Sb 2.90-3.01, 1 Ga 3.01
Ga5 0.5866 0.7273 0.6635  2 Cd 2.74-2.78, 2 Sb 2.90-3.01, 1 Ga 3.01
Ga6 0.9362 0.5769 0.1635  2 Cd 2.74-2.78, 2 Sb 2.90-3.01, 1 Ga 3.01
Ga7 0.3365 0.7727 0.4134  2 Cd 2.74-2.78, 2 Sb 2.90-3.01, 1 Ga 3.01
Ga8 0.0769 0.9134 0.1407  2 Cd 2.74-2.78, 2 Sb 2.90-3.01, 1 Ga 3.01
Ga9 0.5769 0.9362 0.6635  2 Cd 2.74-2.78, 2 Sb 2.90-3.01, 1 Ga 3.01
Ga10 0.7273 0.5866 0.1635  2 Cd 2.74-2.78, 2 Sb 2.90-3.01, 1 Ga 3.01
Ga11 0.7727 0.4362 0.3593  2 Cd 2.74-2.78, 2 Sb 2.90-3.01, 1 Ga 3.01
Ga12 0.8365 0.9231 0.0638  2 Cd 2.74-2.78, 2 Sb 2.90-3.01, 1 Ga 3.01
Ga13 0.1407 0.7273 0.5638  2 Cd 2.74-2.78, 2 Sb 2.90-3.01, 1 Ga 3.01
Ga14 0.3593 0.4231 0.0866  2 Cd 2.74-2.78, 2 Sb 2.90-3.01, 1 Ga 3.01
Ga15 0.0866 0.9231 0.3593  2 Cd 2.74-2.78, 2 Sb 2.90-3.01, 1 Ga 3.01
Ga16 0.4134 0.1407 0.5769  2 Cd 2.74-2.78, 2 Sb 2.90-3.01, 1 Ga 3.01
Ga17 0.0866 0.1635 0.2273  2 Cd 2.74-2.78, 2 Sb 2.90-3.01, 1 Ga 3.01
Ga18 0.4362 0.6635 0.0769  2 Cd 2.74-2.78, 2 Sb 2.90-3.01, 1 Ga 3.01
Ga19 0.8365 0.9134 0.2727  2 Cd 2.74-2.78, 2 Sb 2.90-3.01, 1 Ga 3.01
Ga20 0.1407 0.4134 0.0769  2 Cd 2.74-2.78, 2 Sb 2.90-3.01, 1 Ga 3.01
Ga21 0.3593 0.9362 0.7727  2 Cd 2.74-2.78, 2 Sb 2.90-3.01, 1 Ga 3.01
Ga22 0.5769 0.6407 0.4134  2 Cd 2.74-2.78, 2 Sb 2.90-3.01, 1 Ga 3.01
Ga23 0.9231 0.8365 0.5638  2 Cd 2.74-2.78, 2 Sb 2.90-3.01, 1 Ga 3.01
Ga24 0.7727 0.3365 0.9134  2 Cd 2.74-2.78, 2 Sb 2.90-3.01, 1 Ga 3.01
Ga25 0.4231 0.3593 0.5866  2 Cd 2.74-2.78, 2 Sb 2.90-3.01, 1 Ga 3.01
Ga26 0.0769 0.1635 0.4362  2 Cd 2.74-2.78, 2 Sb 2.90-3.01, 1 Ga 3.01
Ga27 0.2273 0.6635 0.0866  2 Cd 2.74-2.78, 2 Sb 2.90-3.01, 1 Ga 3.01
Ga28 0.1635 0.0866 0.7273  2 Cd 2.74-2.78, 2 Sb 2.90-3.01, 1 Ga 3.01
Ga29 0.6407 0.0638 0.2273  2 Cd 2.74-2.78, 2 Sb 2.90-3.01, 1 Ga 3.01
Ga30 0.8593 0.5866 0.9231  2 Cd 2.74-2.78, 2 Sb 2.90-3.01, 1 Ga 3.01
Ga31 0.5638 0.3365 0.9231  2 Cd 2.74-2.78, 2 Sb 2.90-3.01, 1 Ga 3.01
Ga32 0.5866 0.8593 0.4231  2 Cd 2.74-2.78, 2 Sb 2.90-3.01, 1 Ga 3.01
Ga33 0.9134 0.8365 0.7727  2 Cd 2.74-2.78, 2 Sb 2.90-3.01, 1 Ga 3.01
Ga34 0.9134 0.0769 0.6407  2 Cd 2.74-2.78, 2 Sb 2.90-3.01, 1 Ga 3.01
Ga35 0.8593 0.2727 0.4362  2 Cd 2.74-2.78, 2 Sb 2.90-3.01, 1 Ga 3.01
Ga36 0.1635 0.0769 0.9362  2 Cd 2.74-2.78, 2 Sb 2.90-3.01, 1 Ga 3.01
Ga37 0.6407 0.5769 0.9134  2 Cd 2.74-2.78, 2 Sb 2.90-3.01, 1 Ga 3.01
Ga38 0.4231 0.0638 0.3365  2 Cd 2.74-2.78, 2 Sb 2.90-3.01, 1 Ga 3.01
Ga39 0.2727 0.4134 0.8365  2 Cd 2.74-2.78, 2 Sb 2.90-3.01, 1 Ga 3.01
Ga40 0.2273 0.5638 0.6407  2 Cd 2.74-2.78, 2 Sb 2.90-3.01, 1 Ga 3.01
Ga41 0.9231 0.0866 0.8593  2 Cd 2.74-2.78, 2 Sb 2.90-3.01, 1 Ga 3.01
Ga42 0.6635 0.2273 0.5866  2 Cd 2.74-2.78, 2 Sb 2.90-3.01, 1 Ga 3.01
Ga43 0.4362 0.7727 0.8593  2 Cd 2.74-2.78, 2 Sb 2.90-3.01, 1 Ga 3.01
Ga44 0.0638 0.4231 0.8365  2 Cd 2.74-2.78, 2 Sb 2.90-3.01, 1 Ga 3.01
Ga45 0.4134 0.2727 0.3365  2 Cd 2.74-2.78, 2 Sb 2.90-3.01, 1 Ga 3.01
Ga46 0.0638 0.6407 0.7273  2 Cd 2.74-2.78, 2 Sb 2.90-3.01, 1 Ga 3.01
Ga47 0.6635 0.4362 0.5769  2 Cd 2.74-2.78, 2 Sb 2.90-3.01, 1 Ga 3.01
Ga48 0.2727 0.8593 0.9362  2 Cd 2.74-2.78, 2 Sb 2.90-3.01, 1 Ga 3.01

- SG: Ia-3d, No. 230
- Crystal system: cubic
- DOS(E_F): 9.15 states/eV/f.u.
- Total energy: -199.11 eV per cell